one.
Entry from Alexandria: HfCoOs2 after structural relaxation (PBE).

a = 3.8503 Å, b = 3.8503 Å, c = 17.9222 Å
α = 90.00°, β = 90.00°, γ = 90.00°
Space group I-42d (No. 122)
Asymmetric unit:
Hf  0.0000  0.0000  0.0000 x4
Co  0.0000  0.0000  0.5000 x4
Os  0.1950  0.2500  0.6250 x8

Results
* M_tot: 0.71 μB/f.u.

two.
Entry from Alexandria: HfCoOs2 after structural relaxation (PBE).

a = 6.2491 Å, b = 6.2491 Å, c = 6.2491 Å
α = 90.00°, β = 90.00°, γ = 90.00°
Space group Fm-3m (No. 225)
Asymmetric unit:
Hf  0.0000  0.0000  0.0000 x4
Co  0.0000  0.0000  0.5000 x4
Os  0.2500  0.2500  0.2500 x8

Results
* M_tot: 3.08 μB/f.u.

The least stable of them is one.

one.
Entry from Alexandria: HfCoOs3 after structural relaxation (PBE).

a = 4.7282 Å, b = 4.7282 Å, c = 4.7282 Å
α = 90.00°, β = 90.00°, γ = 90.00°
Space group Pm-3m (No. 221)
Asymmetric unit:
Hf  0.0000  0.0000  0.0000 x1
Co  0.5000  0.5000  0.5000 x1
Os  0.0000  0.0000  0.5000 x3

Results
* M_tot: 0.00 μB/f.u.

two.
Entry from Alexandria: HfCoOs3 after structural relaxation (PBE).

a = 4.4247 Å, b = 4.4247 Å, c = 4.4247 Å
α = 90.00°, β = 90.00°, γ = 90.00°
Space group Pm-3m (No. 221)
Asymmetric unit:
Hf  0.0000  0.0000  0.0000 x1
Co  0.5000  0.5000  0.5000 x1
Os  0.0000  0.5000  0.5000 x3

Results
* M_tot: 2.96 μB/f.u.

The least stable of them is one.